Entry from the Alexandria database: a relaxed Ga12Hg3P5 crystal (PBE).

a = 15.191 Å, b = 15.191 Å, c = 15.191 Å
α = 90.00°, β = 90.00°, γ = 90.00°
Space group Ia-3d (No. 230)
Inequivalent atoms, fractional coordinates:
Ga 0.024 0.073 0.650 x96
Hg 0.000 0.250 0.125 x24
P 0.000 0.000 0.000 x16
P 0.000 0.250 0.375 x24

Output
ρ = 6.04 g cm⁻³
M_tot = 0.000 μB/f.u.
Formation energy from the elements = 1.283 eV/f.u.

---

Entry from the Alexandria database: a relaxed GaHgP crystal (PBE).

a = 11.851 Å, b = 3.769 Å, c = 6.921 Å
α = 90.00°, β = 123.82°, γ = 90.00°
Space group C2/m (No. 12)
Inequivalent atoms, fractional coordinates:
Ga 0.133 0.000 0.321 x4
Hg 0.081 0.500 0.764 x4
P 0.234 0.500 0.246 x4

Output
ρ = 7.79 g cm⁻³
M_tot = 0.000 μB/f.u.
Formation energy from the elements = 0.252 eV/f.u.

---

Entry from the Alexandria database: a relaxed Ga2HgP2 crystal (PBE).

a = 4.030 Å, b = 4.030 Å, c = 14.332 Å
α = 90.00°, β = 90.00°, γ = 90.00°
Space group I4/mmm (No. 139)
Inequivalent atoms, fractional coordinates:
Ga 0.000 0.500 0.250 x4
Hg 0.000 0.000 0.000 x2
P 0.000 0.000 0.351 x4

Output
ΔE to the lowest computed polymorph = 0.000 eV/f.u.
ρ = 5.74 g cm⁻³
M_tot = 0.000 μB/f.u.
Formation energy from the elements = 0.185 eV/f.u.

---

Entry from the Alexandria database: a relaxed Ga3HgP crystal (PBE).

a = 5.095 Å, b = 5.095 Å, c = 5.095 Å
α = 90.00°, β = 90.00°, γ = 90.00°
Space group Pm-3m (No. 221)
Inequivalent atoms, fractional coordinates:
Ga 0.000 0.000 0.500 x3
Hg 0.000 0.000 0.000 x1
P 0.500 0.500 0.500 x1

Output
ΔE to the lowest computed polymorph = 2.328 eV/f.u.
ρ = 5.53 g cm⁻³
M_tot = 0.000 μB/f.u.
Formation energy from the elements = 3.627 eV/f.u.

---

Entry from the Alexandria database: a relaxed Ga2HgP2 crystal (PBE).

a = 4.470 Å, b = 4.470 Å, c = 9.941 Å
α = 90.00°, β = 90.00°, γ = 90.00°
Space group I4/mmm (No. 139)
Inequivalent atoms, fractional coordinates:
Ga 0.000 0.000 0.126 x4
Hg 0.000 0.000 0.500 x2
P 0.000 0.500 0.250 x4

Output
ΔE to the lowest computed polymorph = 0.713 eV/f.u.
ρ = 6.72 g cm⁻³
M_tot = 0.000 μB/f.u.
Formation energy from the elements = 0.898 eV/f.u.

---

Entry from the Alexandria database: a relaxed Ga3HgP crystal (PBE).

a = 4.878 Å, b = 4.878 Å, c = 4.878 Å
α = 90.00°, β = 90.00°, γ = 90.00°
Space group Pm-3m (No. 221)
Inequivalent atoms, fractional coordinates:
Ga 0.000 0.000 0.500 x3
Hg 0.500 0.500 0.500 x1
P 0.000 0.000 0.000 x1

Output
ΔE to the lowest computed polymorph = 0.000 eV/f.u.
ρ = 6.30 g cm⁻³
M_tot = 0.000 μB/f.u.
Formation energy from the elements = 1.299 eV/f.u.

---

Entry from the Alexandria database: a relaxed GaHgPPb2 crystal (PBE).

a = 5.707 Å, b = 5.707 Å, c = 4.945 Å
α = 90.00°, β = 90.00°, γ = 90.00°
Space group P4/mmm (No. 123)
Inequivalent atoms, fractional coordinates:
Ga 0.000 0.000 0.000 x1
Hg 0.000 0.000 0.500 x1
P 0.500 0.500 0.000 x1
Pb 0.000 0.500 0.500 x2

Output
ρ = 7.38 g cm⁻³
M_tot = 0.000 μB/f.u.
Formation energy from the elements = 3.742 eV/f.u.

---

Entry from the Alexandria database: a relaxed GaHgP2S crystal (PBE).

a = 4.820 Å, b = 4.820 Å, c = 4.670 Å
α = 90.00°, β = 90.00°, γ = 90.00°
Space group P4/mmm (No. 123)
Inequivalent atoms, fractional coordinates:
Ga 0.000 0.000 0.000 x1
Hg 0.500 0.500 0.500 x1
P 0.000 0.500 0.000 x2
S 0.000 0.000 0.500 x1

Output
ΔE to the lowest computed polymorph = 0.000 eV/f.u.
ρ = 5.58 g cm⁻³
M_tot = 0.417 μB/f.u.
Formation energy from raw total energies = 0.788 eV per atom

---

Entry from the Alexandria database: a relaxed GaSn2HgP crystal (PBE).

a = 5.308 Å, b = 5.308 Å, c = 5.107 Å
α = 90.00°, β = 90.00°, γ = 90.00°
Space group P4/mmm (No. 123)
Inequivalent atoms, fractional coordinates:
Ga 0.000 0.000 0.000 x1
Sn 0.000 0.500 0.500 x2
Hg 0.500 0.500 0.000 x1
P 0.500 0.500 0.500 x1

Output
ρ = 6.22 g cm⁻³
M_tot = 0.000 μB/f.u.
Formation energy from the elements = 2.152 eV/f.u.

---

Entry from the Alexandria database: a relaxed PaGaHg crystal (PBE).

a = 4.422 Å, b = 10.090 Å, c = 6.075 Å
α = 90.00°, β = 90.00°, γ = 90.00°
Space group Cmcm (No. 63)
Inequivalent atoms, fractional coordinates:
Pa 0.000 0.196 0.250 x4
Ga 0.000 0.115 0.750 x4
Hg 0.000 0.500 0.000 x4

Output
ΔE to the lowest computed polymorph = 0.150 eV/f.u.
ρ = 12.28 g cm⁻³
M_tot = 0.000 μB/f.u.
Formation energy from the elements = -0.128 eV/f.u.

---

Entry from the Alexandria database: a relaxed PaGaHg2 crystal (PBE).

a = 4.393 Å, b = 4.393 Å, c = 4.805 Å
α = 90.00°, β = 90.00°, γ = 90.00°
Space group P4/mmm (No. 123)
Inequivalent atoms, fractional coordinates:
Pa 0.000 0.000 0.000 x1
Ga 0.500 0.500 0.000 x1
Hg 0.000 0.500 0.500 x2

Output
ΔE to the lowest computed polymorph = 0.000 eV/f.u.
ρ = 12.57 g cm⁻³
M_tot = 0.580 μB/f.u.
Formation energy from the elements = -0.051 eV/f.u.

---

Entry from the Alexandria database: a relaxed PaGaHg2 crystal (PBE).

a = 3.613 Å, b = 3.613 Å, c = 7.166 Å
α = 90.00°, β = 90.00°, γ = 90.00°
Space group P4/mmm (No. 123)
Inequivalent atoms, fractional coordinates:
Pa 0.000 0.000 0.000 x1
Ga 0.000 0.000 0.500 x1
Hg 0.500 0.500 0.275 x2

Output
ΔE to the lowest computed polymorph = 0.438 eV/f.u.
ρ = 12.46 g cm⁻³
M_tot = 1.656 μB/f.u.
Formation energy from the elements = 0.387 eV/f.u.

---

Values for density of states at the Fermi level, states/eV per cell, ordered as above
58.1; 4.4; 1.1; 1.9; 4.4; 2.1; 2.7; 5.2; 3.1; 16.8; 6.0; 5.7